A plane-wave DFT calculation with GGA-PBE was carried out for ErCdAg4 after structural relaxation.

The space group is F-43m (No. 216) and the conventional cell measures 7.866, 7.866 and 7.866 Å, with angles of 90.00, 90.00 and 90.00 degrees. The asymmetric unit holds Er at (0.000, 0.000, 0.000), Cd at (0.250, 0.250, 0.250) and Ag at (0.125, 0.125, 0.625).

As for the formation energy: -170 meV per atom.